Density functional theory data (PBE-GGA) for a relaxed structure of Rb2CuReSn.

Geometry as CIF:
```
data_Rb2CuReSn
_symmetry_space_group_name_H-M 'P 4/m m m'
_symmetry_Int_Tables_number 123
_symmetry_space_group_name_Hall '-P 4 2'
_cell_length_a 7.023
_cell_length_b 7.023
_cell_length_c 5.144
_cell_angle_alpha 90.00
_cell_angle_beta 90.00
_cell_angle_gamma 90.00
loop_
_atom_site_label
_atom_site_type_symbol
_atom_site_fract_x
_atom_site_fract_y
_atom_site_fract_z
Rb1 Rb 0.000 0.500 0.000
Cu1 Cu 0.000 0.000 0.500
Re1 Re 0.500 0.500 0.500
Sn1 Sn 0.500 0.500 0.000
```

Results
E_form   1.288 eV per atom
Density of states at the Fermi level   4.91 states/eV/cell
DFT total energy   -3.2082 eV/atom